Below is crystalline Nd3Sc4 at its relaxed geometry, with properties calculated at the GGA-PBE level.

Calculated values
The calculation puts the total energy at -5.4125 eV per atom. As for the space group: C2/m (12). For the energy of formation from the pure elements, the calculation gives 249 meV/atom. The size of the total moment is 0.1187 μB/atom. The density of states at the Fermi level comes out at 12.85 states/eV per cell.

```
7
Lattice="-1.940 -0.932 2.717 4.308 -8.654 0.109 3.651 6.520 2.633" Properties=species:S:1:pos:R:3 pbc="T T T"
Nd 0.000 0.000 0.000
Nd 3.061 0.542 2.372
Nd 2.958 -3.608 3.087
Sc 3.113 2.532 5.303
Sc 2.906 -5.598 0.155
Sc 1.920 3.826 2.684
Sc 4.099 -6.892 2.775
```

Below is crystalline NdSc4 at its relaxed geometry, with properties calculated at the GGA-PBE level.

Calculated values
The calculation puts the total energy at -5.9544 eV per atom. Its polymorph energy (0 for the lowest one) is 18.6 meV per atom. As for the space group: I4/m (87). For the energy of formation from the pure elements, the calculation gives 64 meV/atom. The size of the total moment is 0.0000 μB/atom. The density of states at the Fermi level comes out at 8.58 states/eV per cell.

```
5
Lattice="0.368 -0.641 4.699 1.009 -5.460 1.584 5.364 0.554 2.064" Properties=species:S:1:pos:R:3 pbc="T T T"
Nd 0.000 0.000 0.000
Sc 2.422 -1.025 2.078
Sc 1.925 -3.549 4.180
Sc 4.319 -4.522 6.268
Sc 4.816 -1.998 4.166
```

Below is crystalline NdSc3 at its relaxed geometry, with properties calculated at the GGA-PBE level.

Calculated values
The calculation puts the total energy at -5.8984 eV per atom. Its polymorph energy (0 for the lowest one) is 1.4 meV per atom. As for the space group: P6_3/mmc (194). For the energy of formation from the pure elements, the calculation gives 42 meV/atom. The size of the total moment is 0.0145 μB/atom. The density of states at the Fermi level comes out at 16.33 states/eV per cell.

```
8
Lattice="-3.476 5.211 -2.733 -3.235 -4.606 3.876 1.010 2.962 4.363" Properties=species:S:1:pos:R:3 pbc="T T T"
Nd -3.143 2.679 0.561
Nd -2.558 0.888 4.945
Sc -2.679 5.849 1.606
Sc -0.886 3.160 3.016
Sc -4.348 3.472 3.605
Sc -3.021 -2.281 3.901
Sc -4.814 0.407 2.490
Sc -1.352 0.095 1.901
```

Below is crystalline Nd4Sc at its relaxed geometry, with properties calculated at the GGA-PBE level.

Calculated values
The calculation puts the total energy at -4.9913 eV per atom. Its polymorph energy (0 for the lowest one) is 49.7 meV per atom. As for the space group: I4/m (87). For the energy of formation from the pure elements, the calculation gives 89 meV/atom. The size of the total moment is 0.0001 μB/atom. The density of states at the Fermi level comes out at 9.25 states/eV per cell.

```
5
Lattice="3.535 0.000 1.320 1.767 6.650 0.660 -0.559 0.000 6.890" Properties=species:S:1:pos:R:3 pbc="T T T"
Nd 0.914 1.295 2.946
Nd 3.082 4.209 2.533
Nd 3.830 5.355 5.923
Nd 1.662 2.441 6.336
Sc 0.000 0.000 0.000
```

Below is crystalline NdSc3 at its relaxed geometry, with properties calculated at the GGA-PBE level.

Calculated values
The calculation puts the total energy at -5.8749 eV per atom. Its polymorph energy (0 for the lowest one) is 24.8 meV per atom. As for the space group: I4/mmm (139). For the energy of formation from the pure elements, the calculation gives 66 meV/atom. The size of the total moment is 0.0000 μB/atom. The density of states at the Fermi level comes out at 7.21 states/eV per cell.

```
4
Lattice="4.824 0.000 0.000 0.000 4.824 0.000 -2.412 -2.412 4.625" Properties=species:S:1:pos:R:3 pbc="T T T"
Sc 2.412 0.000 2.313
Sc 0.000 2.412 2.313
Sc 2.412 2.412 0.000
Nd 0.000 0.000 0.000
```

Below is crystalline NdSc3 at its relaxed geometry, with properties calculated at the GGA-PBE level.

Calculated values
The calculation puts the total energy at -5.8998 eV per atom. Its polymorph energy (0 for the lowest one) is 0.0 meV per atom. As for the space group: R-3m (166). For the energy of formation from the pure elements, the calculation gives 41 meV/atom. The size of the total moment is 0.0000 μB/atom. The density of states at the Fermi level comes out at 18.64 states/eV per cell.

```
12
Lattice="-3.906 2.165 -5.108 2.257 -0.367 -6.388 -3.747 -6.829 -4.535" Properties=species:S:1:pos:R:3 pbc="T T T"
Nd -3.766 -3.119 -11.961
Nd -1.631 -1.912 -4.070
Nd 0.000 0.000 0.000
Sc -0.530 -2.038 -7.277
Sc -3.531 -0.805 -6.653
Sc -2.432 -0.983 -9.764
Sc 1.128 -0.183 -3.194
Sc -0.825 0.899 -5.748
Sc -1.953 1.082 -2.554
Sc -1.865 -4.226 -9.377
Sc -4.867 -2.993 -8.754
Sc -2.964 -4.048 -6.267
```

Question: Which value of size of the total moment does entry 6 give?
Answer: 0.0000 μB/atom

Question: What is the formula in the sixth record?
Answer: NdSc3